Entry 1:
Compound: KCa2Nb3O10
Source: Alexandria
Functional: PBE
Structure: optimized geometry

Lattice parameters (Å, degrees): 3.9477 29.7771 7.8988 90.00 90.00 90.00
Last column: nearest neighbours and their distance in Å.
Space group Cmc2_1 (No. 36)
Unique sites:
K (0.0000, 0.2440, 0.0000) (multiplicity 4)  6 O 2.81-2.85
Ca (0.0000, 0.0730, 0.0252) (multiplicity 4)  7 O 2.41-2.65
Ca (0.0000, 0.0780, 0.5014) (multiplicity 4)  6 O 2.41-2.59
Nb (0.0000, 0.3557, 0.7489) (multiplicity 4)  2 O 1.80-1.98
Nb (0.0000, 0.3579, 0.2572) (multiplicity 4)  1 O 1.79
Nb (0.0000, 0.4983, 0.2498) (multiplicity 4)  5 O 1.91-2.00
O (0.0000, 0.0018, 0.2118) (multiplicity 4)  2 Nb 2.00
O (0.0000, 0.1259, 0.7546) (multiplicity 4)  2 Nb 2.03
O (0.0000, 0.1283, 0.2474) (multiplicity 4)  2 Nb 2.03
O (0.0000, 0.2965, 0.7041) (multiplicity 4)  1 Nb 1.80
O (0.0000, 0.2985, 0.2943) (multiplicity 4)  1 Nb 1.79
O (0.0000, 0.3555, 0.9990) (multiplicity 4)  2 Nb 1.98-2.04
O (0.0000, 0.3801, 0.5009) (multiplicity 4)  2 Nb 2.04-2.09
O (0.0000, 0.4361, 0.1687) (multiplicity 4)  1 Nb 1.96
O (0.0000, 0.4360, 0.7961) (multiplicity 4)  1 Nb 1.99
O (0.0000, 0.4794, 0.4807) (multiplicity 4)  1 Nb 1.91

Summary:
Relative energy among the computed polymorphs   0.008 eV per atom
Energy relative to the elements, uncorrected   -2.720 eV/atom

---

Entry 2:
Compound: Sc3BiC
Source: Alexandria
Functional: PBE
Structure: optimized geometry

Lattice parameters (Å, degrees): 3.3103 5.9598 11.0729 90.00 90.00 90.00
Last column: nearest neighbours and their distance in Å.
Space group Amm2 (No. 38)
Unique sites:
Sc (0.0000, 0.0000, 0.0000) (multiplicity 2)  1 C 2.15
Sc (0.5000, 0.2378, 0.2406) (multiplicity 4)  2 C 2.24
Bi (0.5000, 0.0000, 0.5012) (multiplicity 2)  8 Sc 3.08-3.41, 2 Bi 3.31
C (0.0000, 0.0000, 0.1943) (multiplicity 2)  5 Sc 2.15-2.24

Summary:
DFT formation energy   -0.32 eV per atom

---

Entry 3:
Compound: HfFeSe2N
Source: Alexandria
Functional: PBE
Structure: optimized geometry

Lattice parameters (Å, degrees): 5.2476 5.2476 4.0175 90.00 90.00 90.00
Last column: nearest neighbours and their distance in Å.
Space group P4/mmm (No. 123)
Unique sites:
Hf (0.0000, 0.0000, 0.0000) (multiplicity 1)  2 N 2.01
Fe (0.5000, 0.5000, 0.5000) (multiplicity 1)  8 Se 3.30
Se (0.0000, 0.5000, 0.0000) (multiplicity 2)  2 Hf 2.62
N (0.0000, 0.0000, 0.5000) (multiplicity 1)  2 Hf 2.01

Summary:
Relative energy among the computed polymorphs   0.303 eV per atom
Energy relative to the elements, uncorrected   0.247 eV/atom

---

Entry 4:
Compound: LaTcCl2
Source: Alexandria
Functional: PBE
Structure: optimized geometry

Lattice parameters (Å, degrees): 4.0896 4.0896 10.3961 90.00 90.00 90.00
Last column: nearest neighbours and their distance in Å.
Space group I-4m2 (No. 119)
Unique sites:
La (0.0000, 0.0000, 0.0000) (multiplicity 2)  4 Cl 2.89
Tc (0.0000, 0.5000, 0.7500) (multiplicity 2)  4 Cl 2.89
Cl (0.0000, 0.0000, 0.5000) (multiplicity 2)  4 La 2.89
Cl (0.0000, 0.5000, 0.2500) (multiplicity 2)  4 Tc 2.89

Summary:
Relative energy among the computed polymorphs   0.433 eV per atom
Energy relative to the elements, uncorrected   -0.326 eV/atom

---

Entry 5:
Compound: InTcPd3
Source: Alexandria
Functional: PBE
Structure: optimized geometry

Lattice parameters (Å, degrees): 4.8961 4.8961 4.8961 90.00 90.00 90.00
Last column: nearest neighbours and their distance in Å.
Space group Pm-3m (No. 221)
Unique sites:
In (0.0000, 0.0000, 0.0000) (multiplicity 1)  6 Pd 2.45
Tc (0.5000, 0.5000, 0.5000) (multiplicity 1)  12 Pd 3.46
Pd (0.0000, 0.0000, 0.5000) (multiplicity 3)  2 In 2.45

Summary:
DFT formation energy   1.18 eV per atom
Relative energy among the computed polymorphs   0.248 eV per atom

---

Entry 6:
Compound: Sc2NbAu
Source: Alexandria
Functional: PBE
Structure: optimized geometry

Lattice parameters (Å, degrees): 3.1789 3.1789 7.9549 90.00 90.00 90.00
Last column: nearest neighbours and their distance in Å.
Space group P4/mmm (No. 123)
Unique sites:
Sc (0.0000, 0.0000, 0.2370) (multiplicity 2)  4 Au 2.93, 4 Nb 3.07, 4 Sc 3.18
Nb (0.5000, 0.5000, 0.5000) (multiplicity 1)  8 Sc 3.07, 4 Nb 3.18
Au (0.5000, 0.5000, 0.0000) (multiplicity 1)  8 Sc 2.93, 4 Au 3.18

Summary:
DFT formation energy   -0.32 eV per atom
Relative energy among the computed polymorphs   0.000 eV per atom

---

Entry 7:
Compound: Ac2ZnPtO5
Source: Alexandria
Functional: PBE
Structure: optimized geometry

Lattice parameters (Å, degrees): 7.3740 7.3740 5.6716 90.00 90.00 90.00
Last column: nearest neighbours and their distance in Å.
Space group P4/mbm (No. 127)
Unique sites:
Ac (0.1797, 0.3203, 0.0000) (multiplicity 4)  4 O 2.42-2.71
Zn (0.0000, 0.0000, 0.5000) (multiplicity 2)  2 O 2.84
Pt (0.0000, 0.5000, 0.5000) (multiplicity 2)  4 O 1.97
O (0.0000, 0.0000, 0.0000) (multiplicity 2)  4 Ac 2.71, 2 Zn 2.84
O (0.1325, 0.6325, 0.2516) (multiplicity 8)  1 Pt 1.97

Summary:
Energy relative to the elements, uncorrected   -1.875 eV/atom

---

Entry 8:
Compound: VH2WSe
Source: Alexandria
Functional: PBE
Structure: optimized geometry

Lattice parameters (Å, degrees): 3.5266 3.5266 4.9380 90.00 90.00 90.00
Last column: nearest neighbours and their distance in Å.
Space group P4/mmm (No. 123)
Unique sites:
V (0.0000, 0.0000, 0.0000) (multiplicity 1)  4 Se 2.49
H (0.0000, 0.5000, 0.5000) (multiplicity 2)  2 W 1.76
W (0.5000, 0.5000, 0.5000) (multiplicity 1)  4 H 1.76
Se (0.5000, 0.5000, 0.0000) (multiplicity 1)  2 W 2.47, 4 V 2.49

Summary:
Total DFT energy (no corrections)   -29.6 eV/cell

---

Number 1: V 929 Å³/cell, M_tot 0.000 μB per atom. Number 2: V 218 Å³/cell, M_tot 0.075 μB per atom. Number 3: V 111 Å³/cell, M_tot 0.963 μB per atom. Number 4: V 174 Å³/cell, M_tot 0.614 μB per atom. Number 5: V 117 Å³/cell, M_tot 0.858 μB per atom. Number 6: V 80 Å³/cell, M_tot 0.000 μB per atom. Number 7: V 308 Å³/cell, M_tot 0.038 μB per atom. Number 8: V 61 Å³/cell, M_tot 0.000 μB per atom.